PmPuV2O8: optimized geometry, PBE with a Hubbard U.

Its total energy is -8.690 eV per atom. The calculated density is 6.66 g/cm³. Its magnetic moment is 5.0 μB/f.u.

It has space group I-4 (No. 82), with a = 5.1760 Å, b = 5.1760 Å, c = 11.5205 Å, α = 90.00°, β = 90.00° and γ = 90.00°. The distinct sites, in fractional coordinates, are Pm at (0.0000, 0.0000, 0.0000), Pu at (0.0000, 0.5000, 0.7500), V at (0.0000, 0.0000, 0.5000), V at (0.0000, 0.5000, 0.2500), O at (0.1420, 0.2516, 0.5813) and O at (0.1463, 0.7524, 0.1704).